Computed, not measured: crystalline TiZn2WO6 at its relaxed geometry at the GGA+U level of DFT.

The space group is R3 (No. 146, hexagonal axes) and the conventional cell measures 5.2415, 5.2415 and 14.0913 Å, with angles of 90.00, 90.00 and 120.00 degrees. The distinct sites, in fractional coordinates, are Ti at (0.0000, 0.0000, 0.0000), Zn at (0.0000, 0.0000, 0.2180), Zn at (0.0000, 0.0000, 0.7343), W at (0.0000, 0.0000, 0.5049), O at (0.0196, 0.3787, 0.7592) and O at (0.0353, 0.7010, 0.5953).

The value obtained for the energy relative to the lowest polymorph listed for this composition is 0.0 meV/atom. The calculation puts the calculated density at 6.81 Mg/m³. The final energy comes out at -6.75 eV per atom.